# 1
## AlCu2Ru (PBE-GGA)

Data for a geometry-optimized AlCu2Ru structure.

Cell and atoms, written as CIF:
```
data_AlCu2Ru
_chemical_formula_sum 'Al4 Cu8 Ru4'
_space_group_name_H-M_alt 'I -4 2 d'
_space_group_IT_number 122
_space_group_name_Hall 'I -4 2bw'
_cell_length_a 3.5003
_cell_length_b 3.5003
_cell_length_c 18.4593
_cell_angle_alpha 90.00
_cell_angle_beta 90.00
_cell_angle_gamma 90.00
loop_
_atom_site_label
_atom_site_type_symbol
_atom_site_fract_x
_atom_site_fract_y
_atom_site_fract_z
Al1 Al 0.0000 0.0000 0.0000
Cu1 Cu 0.2491 0.2500 0.1250
Ru1 Ru 0.0000 0.0000 0.5000
```

ΔH_f (0 K) in kJ/mol of formula units: 58


# 2
## CaP2W (PBE-GGA)

Data for a geometry-optimized CaP2W structure.

Cell and atoms, written as CIF:
```
data_CaP2W
_chemical_formula_sum 'Ca3 P6 W3'
_space_group_name_H-M_alt 'R -3 m'
_space_group_IT_number 166
_space_group_name_Hall '-R 3 2"'
_cell_length_a 3.6007
_cell_length_b 3.6007
_cell_length_c 19.7555
_cell_angle_alpha 90.00
_cell_angle_beta 90.00
_cell_angle_gamma 120.00
loop_
_atom_site_label
_atom_site_type_symbol
_atom_site_fract_x
_atom_site_fract_y
_atom_site_fract_z
Ca1 Ca 0.0000 0.0000 0.0000
P1 P 0.0000 0.0000 0.2370
W1 W 0.0000 0.0000 0.5000
```

ΔH_f (0 K) in kJ/mol of formula units: -217
Energy above the most stable polymorph in this dataset in meV per atom: 0


# 3
## Ca5Tl6 (PBE-GGA)

Data for a geometry-optimized Ca5Tl6 structure.

Cell and atoms, written as CIF:
```
data_Ca5Tl6
_chemical_formula_sum 'Ca10 Tl12'
_space_group_name_H-M_alt 'I m m m'
_space_group_IT_number 71
_space_group_name_Hall '-I 2 2'
_cell_length_a 5.4222
_cell_length_b 7.6756
_cell_length_c 16.1353
_cell_angle_alpha 90.00
_cell_angle_beta 90.00
_cell_angle_gamma 90.00
loop_
_atom_site_label
_atom_site_type_symbol
_atom_site_fract_x
_atom_site_fract_y
_atom_site_fract_z
Ca1 Ca 0.0000 0.0000 0.0000
Ca2 Ca 0.0000 0.0000 0.3253
Ca3 Ca 0.0000 0.5000 0.3385
Tl1 Tl 0.0000 0.2158 0.5000
Tl2 Tl 0.0000 0.2707 0.1573
```

ΔH_f (0 K) in kJ/mol of formula units: -355


Among the records above, which one has the lowest ΔH_f (0 K)?
Ca5Tl6